Record 1
La2ThScTe4 after structural relaxation, computed with GGA-PBE.

E_form (uncorrected) ... -125.49 kJ/mol of atoms
D(E_F) ... 0.766 states/eV/atom
Symmetry ... P2/m, No. 10
Total energy ... -5.82 eV/atom

Geometry as POSCAR:
```
La2ThScTe4
1.0
7.674 0.000 0.000
0.000 4.420 0.000
-2.556 0.000 7.385
La Th Sc Te
2 1 1 4
direct
0.000 0.000 0.000
0.000 0.500 0.500
0.500 0.000 0.500
0.500 0.500 0.000
0.264 0.500 0.241
0.273 0.000 0.770
0.727 0.000 0.230
0.736 0.500 0.759
```



Record 2
Nd12YHo7 after structural relaxation, computed with GGA-PBE.

Energy of formation from the pure elements ... 5.478 kcal/mol of atoms
Excess energy over the best structure of this formula in the dataset ... 16 meV per atom
D(E_F) ... 1.422 states/eV/atom
Symmetry ... R-3, No. 148
Total energy ... -4.55 eV/atom

Geometry as POSCAR:
```
Nd12YHo7
1.0
9.837 5.679 2.079
-9.837 5.679 2.079
0.000 -11.358 2.079
Nd Y Ho
12 1 7
direct
0.000 0.412 0.588
0.000 0.588 0.412
0.086 0.087 0.439
0.087 0.439 0.086
0.412 0.000 0.588
0.412 0.588 0.000
0.439 0.086 0.087
0.561 0.914 0.913
0.588 0.000 0.412
0.588 0.412 0.000
0.913 0.561 0.914
0.914 0.913 0.561
0.500 0.500 0.500
0.000 0.000 0.000
0.129 0.374 0.373
0.373 0.129 0.374
0.374 0.373 0.129
0.626 0.627 0.871
0.627 0.871 0.626
0.871 0.626 0.627
```



Record 3
Fe3Co2 after structural relaxation, computed with GGA-PBE.

Energy of formation from the pure elements ... 5.668 kcal/mol of atoms
Excess energy over the best structure of this formula in the dataset ... 295 meV per atom
D(E_F) ... 0.544 states/eV/atom
Symmetry ... P-3m1, No. 164
Total energy ... -7.67 eV/atom

Geometry as POSCAR:
```
Fe3Co2
1.0
3.914 0.000 0.000
-1.957 3.390 0.000
0.000 0.000 4.847
Fe Co
3 2
direct
0.000 0.000 0.000
0.333 0.667 0.354
0.667 0.333 0.646
0.333 0.667 0.842
0.667 0.333 0.158
```



no.,total moment (μB per formula unit)
1,0.00
2,0.00
3,11.57